1.
Compound: NaLiCaCl4
Source: the Alexandria database
Functional: PBE-GGA
Structure: relaxed

Lattice parameters (Å, degrees): 7.7844 7.9517 7.9517 61.25 60.68 60.68
With the nearest neighbours (Å) after each atom.
Element x y z (fractional)
Na1 0.5000 0.0000 0.5000  6 Cl 2.80-2.83
Na2 0.0000 0.0000 0.5000  6 Cl 2.80-2.83
Li1 0.6397 0.6106 0.1106  4 Cl 2.43-2.53
Li2 0.3604 0.3894 0.8894  4 Cl 2.43-2.53
Ca1 0.0000 0.0000 0.0000  6 Cl 2.73-2.77
Ca2 0.0000 0.5000 0.5000  6 Cl 2.73-2.77
Cl1 0.7573 0.7440 0.7414  1 Li 2.43
Cl2 0.2427 0.7586 0.7560  1 Li 2.43
Cl3 0.7573 0.2414 0.2440  1 Li 2.43
Cl4 0.2427 0.2560 0.2586  1 Li 2.43
Cl5 0.2448 0.7484 0.2484  1 Li 2.53, 2 Ca 2.77, 1 Na 2.83
Cl6 0.7584 0.7484 0.2484  1 Li 2.53, 2 Ca 2.77, 1 Na 2.83
Cl7 0.2416 0.2516 0.7516  1 Li 2.53, 2 Ca 2.77, 1 Na 2.83
Cl8 0.7552 0.2516 0.7516  1 Li 2.53, 2 Ca 2.77, 1 Na 2.83

Summary:
**Uncorrected formation energy**: -2.054 eV/atom
**VASP energy**: -53.99 eV per cell
**Density of states at the Fermi level**: 0.0000 states/eV/atom
**Calculated volume**: 355 Å³/cell
**Symmetry**: No. 74

2.
Compound: LiCaNdCl6
Source: the Alexandria database
Functional: PBE-GGA
Structure: relaxed

Lattice parameters (Å, degrees): 6.7662 6.7662 12.2819 90.00 90.00 120.00
With the nearest neighbours (Å) after each atom.
Element x y z (fractional)
Li1 0.3333 0.6667 0.2500  6 Cl 2.63
Li2 0.6667 0.3333 0.7500  6 Cl 2.63
Ca1 0.0000 0.0000 0.0000  6 Cl 2.79
Ca2 0.0000 0.0000 0.5000  6 Cl 2.79
Nd1 0.6667 0.3333 0.2500  6 Cl 2.75
Nd2 0.3333 0.6667 0.7500  6 Cl 2.75
Cl1 0.6525 0.6673 0.1280  1 Li 2.63, 1 Nd 2.75, 1 Ca 2.79
Cl2 0.0149 0.3475 0.1280  1 Li 2.63, 1 Nd 2.75, 1 Ca 2.79
Cl3 0.3475 0.0149 0.6280  1 Li 2.63, 1 Nd 2.75, 1 Ca 2.79
Cl4 0.9851 0.6525 0.8720  1 Li 2.63, 1 Nd 2.75, 1 Ca 2.79
Cl5 0.3327 0.3475 0.3720  1 Li 2.63, 1 Nd 2.75, 1 Ca 2.79
Cl6 0.0149 0.6673 0.3720  1 Li 2.63, 1 Nd 2.75, 1 Ca 2.79
Cl7 0.6673 0.0149 0.8720  1 Li 2.63, 1 Nd 2.75, 1 Ca 2.79
Cl8 0.6525 0.9851 0.3720  1 Li 2.63, 1 Nd 2.75, 1 Ca 2.79
Cl9 0.9851 0.3327 0.6280  1 Li 2.63, 1 Nd 2.75, 1 Ca 2.79
Cl10 0.3327 0.9851 0.1280  1 Li 2.63, 1 Nd 2.75, 1 Ca 2.79
Cl11 0.6673 0.6525 0.6280  1 Li 2.63, 1 Nd 2.75, 1 Ca 2.79
Cl12 0.3475 0.3327 0.8720  1 Li 2.63, 1 Nd 2.75, 1 Ca 2.79

Summary:
**Uncorrected formation energy**: -2.188 eV/atom
**VASP energy**: -78.92 eV per cell
**Density of states at the Fermi level**: 0.0000 states/eV/atom
**Calculated volume**: 487 Å³/cell
**Symmetry**: No. 163

3.
Compound: LiCaClO
Source: the Alexandria database
Functional: PBE-GGA
Structure: relaxed

Lattice parameters (Å, degrees): 3.6274 3.6274 12.4544 81.63 81.63 60.00
With the nearest neighbours (Å) after each atom.
Element x y z (fractional)
Li1 0.6832 0.6832 0.9505  1 O 1.93
Li2 0.3168 0.3168 0.0495  1 O 1.93
Ca1 0.0721 0.0721 0.7838  3 O 2.48, 3 Cl 2.66
Ca2 0.9279 0.9279 0.2162  3 O 2.48, 3 Cl 2.66
Cl1 0.7833 0.7833 0.6500  3 Ca 2.66
Cl2 0.2167 0.2167 0.3500  3 Ca 2.66
O1 0.6306 0.6306 0.1081  1 Li 1.93
O2 0.3694 0.3694 0.8919  1 Li 1.93

Summary:
**Uncorrected formation energy**: -2.200 eV/atom
**VASP energy**: -39.04 eV per cell
**Density of states at the Fermi level**: 0.0000 states/eV/atom
**Calculated volume**: 140 Å³/cell
**Symmetry**: No. 166

4.
Compound: Li2CaOsCl8
Source: the Alexandria database
Functional: PBE-GGA
Structure: relaxed

Lattice parameters (Å, degrees): 6.4616 6.8801 7.8791 68.92 93.98 103.02
With the nearest neighbours (Å) after each atom.
Element x y z (fractional)
Li1 0.5424 0.3392 0.6905  4 Cl 2.35-2.49
Li2 0.4576 0.6608 0.3095  4 Cl 2.35-2.49
Ca1 0.0000 0.0000 0.5000  6 Cl 2.69-2.85
Os1 0.0000 0.0000 0.0000  6 Cl 2.31-2.39
Cl1 0.1216 0.7876 0.2849  1 Os 2.39, 1 Li 2.49
Cl2 0.6811 0.7532 0.0425  1 Os 2.31, 1 Li 2.44
Cl3 0.8605 0.1887 0.1476  1 Os 2.37
Cl4 0.8784 0.2124 0.7151  1 Os 2.39, 1 Li 2.49
Cl5 0.3189 0.2468 0.9575  1 Os 2.31, 1 Li 2.44
Cl6 0.1395 0.8113 0.8524  1 Os 2.37
Cl7 0.6245 0.7174 0.5670  2 Li 2.35-2.37
Cl8 0.3755 0.2826 0.4330  2 Li 2.35-2.37

Summary:
**Uncorrected formation energy**: -1.337 eV/atom
**VASP energy**: -47.88 eV per cell
**Density of states at the Fermi level**: 0.2534 states/eV/atom
**Calculated volume**: 318 Å³/cell
**Symmetry**: No. 2

5.
Compound: LiCaP2Cl
Source: the Alexandria database
Functional: PBE-GGA
Structure: relaxed

Lattice parameters (Å, degrees): 5.4821 5.4821 5.3156 90.00 90.00 90.00
With the nearest neighbours (Å) after each atom.
Element x y z (fractional)
P1 0.0000 0.5000 0.0000  2 Ca 2.74
P2 0.5000 0.0000 0.0000  2 Ca 2.74
Ca1 0.0000 0.0000 0.0000  2 Cl 2.66, 4 P 2.74
Li1 0.5000 0.5000 0.5000  8 P 3.82, 4 Cl 3.88
Cl1 0.0000 0.0000 0.5000  2 Ca 2.66

Summary:
**Uncorrected formation energy**: 0.061 eV/atom
**VASP energy**: -16.28 eV per cell
**Density of states at the Fermi level**: 0.4413 states/eV/atom
**Calculated volume**: 160 Å³/cell
**Symmetry**: No. 123
**Excess energy over the best structure of this formula in the dataset**: 0.419 eV per atom

6.
Compound: LiCaPCl2
Source: the Alexandria database
Functional: PBE-GGA
Structure: relaxed

Lattice parameters (Å, degrees): 4.6623 4.6623 5.0893 90.00 90.00 90.00
With the nearest neighbours (Å) after each atom.
Element x y z (fractional)
P1 0.0000 0.0000 0.5000  2 Li 2.54
Ca1 0.5000 0.5000 0.5000  4 P 3.30, 8 Cl 3.45
Li1 0.0000 0.0000 0.0000  4 Cl 2.33, 2 P 2.54
Cl1 0.0000 0.5000 0.0000  2 Li 2.33
Cl2 0.5000 0.0000 0.0000  2 Li 2.33

Summary:
**Uncorrected formation energy**: -0.884 eV/atom
**VASP energy**: -17.44 eV per cell
**Density of states at the Fermi level**: 0.4326 states/eV/atom
**Calculated volume**: 111 Å³/cell
**Symmetry**: No. 123
**Excess energy over the best structure of this formula in the dataset**: 0.000 eV per atom

7.
Compound: LiCaP2Cl
Source: the Alexandria database
Functional: PBE-GGA
Structure: relaxed

Lattice parameters (Å, degrees): 4.2680 4.2680 5.7175 90.00 90.00 90.00
With the nearest neighbours (Å) after each atom.
Element x y z (fractional)
P1 0.0000 0.5000 0.0000  2 Li 2.13
P2 0.5000 0.0000 0.0000  2 Li 2.13
Ca1 0.5000 0.5000 0.5000  4 Cl 3.02
Li1 0.0000 0.0000 0.0000  4 P 2.13
Cl1 0.0000 0.0000 0.5000  2 Li 2.86, 4 Ca 3.02

Summary:
**Uncorrected formation energy**: -0.358 eV/atom
**VASP energy**: -18.37 eV per cell
**Density of states at the Fermi level**: 0.7099 states/eV/atom
**Calculated volume**: 104 Å³/cell
**Symmetry**: No. 123
**Excess energy over the best structure of this formula in the dataset**: 0.000 eV per atom

8.
Compound: LiCaPCl2
Source: the Alexandria database
Functional: PBE-GGA
Structure: relaxed

Lattice parameters (Å, degrees): 5.3550 5.3550 5.7545 90.00 90.00 90.00
With the nearest neighbours (Å) after each atom.
Element x y z (fractional)
P1 0.0000 0.0000 0.5000  2 Ca 2.88
Ca1 0.0000 0.0000 0.0000  4 Cl 2.68, 2 P 2.88
Li1 0.5000 0.5000 0.5000  4 P 3.79, 8 Cl 3.93
Cl1 0.0000 0.5000 0.0000  2 Ca 2.68
Cl2 0.5000 0.0000 0.0000  2 Ca 2.68

Summary:
**Uncorrected formation energy**: -0.839 eV/atom
**VASP energy**: -17.21 eV per cell
**Density of states at the Fermi level**: 0.2702 states/eV/atom
**Calculated volume**: 165 Å³/cell
**Symmetry**: No. 123
**Excess energy over the best structure of this formula in the dataset**: 0.046 eV per atom

9.
Compound: LiCaPbCl5
Source: the Alexandria database
Functional: PBE-GGA
Structure: relaxed

Lattice parameters (Å, degrees): 7.2890 7.2890 9.7325 103.51 103.51 107.41
With the nearest neighbours (Å) after each atom.
Element x y z (fractional)
Li1 0.6834 0.3166 0.2500  4 Cl 2.35-2.38
Li2 0.3166 0.6834 0.7500  4 Cl 2.35-2.38
Ca1 0.0000 0.0000 0.5000  6 Cl 2.73-2.80
Ca2 0.0000 0.0000 0.0000  6 Cl 2.73-2.80
Pb1 0.3609 0.6391 0.2500  5 Cl 2.90-2.98
Pb2 0.6391 0.3609 0.7500  5 Cl 2.90-2.98
Cl1 0.1072 0.8928 0.2500  2 Ca 2.74, 1 Pb 2.98
Cl2 0.8928 0.1072 0.7500  2 Ca 2.74, 1 Pb 2.98
Cl3 0.9469 0.3384 0.1462  1 Li 2.35
Cl4 0.0531 0.6616 0.8538  1 Li 2.35
Cl5 0.6616 0.0531 0.3538  1 Li 2.35
Cl6 0.3384 0.9469 0.6462  1 Li 2.35
Cl7 0.7166 0.6102 0.4391  1 Li 2.38
Cl8 0.2834 0.3898 0.5609  1 Li 2.38
Cl9 0.3898 0.2834 0.0609  1 Li 2.38
Cl10 0.6102 0.7166 0.9391  1 Li 2.38

Summary:
**Uncorrected formation energy**: -1.743 eV/atom
**VASP energy**: -61.60 eV per cell
**Density of states at the Fermi level**: 0.0000 states/eV/atom
**Calculated volume**: 453 Å³/cell
**Symmetry**: No. 15

10.
Compound: LiCaPbCl2
Source: the Alexandria database
Functional: PBE-GGA
Structure: relaxed

Lattice parameters (Å, degrees): 5.7018 5.3840 5.7018 90.00 90.00 90.00
With the nearest neighbours (Å) after each atom.
Element x y z (fractional)
Pb1 0.0000 0.0000 0.0000  2 Li 2.69, 4 Cl 2.85
Ca1 0.5000 0.5000 0.5000  8 Cl 3.92, 4 Li 4.03
Li1 0.0000 0.5000 0.0000  2 Pb 2.69
Cl1 0.0000 0.0000 0.5000  2 Pb 2.85
Cl2 0.5000 0.0000 0.0000  2 Pb 2.85

Summary:
**Uncorrected formation energy**: -0.495 eV/atom
**VASP energy**: -13.79 eV per cell
**Density of states at the Fermi level**: 0.5605 states/eV/atom
**Calculated volume**: 175 Å³/cell
**Symmetry**: No. 123

11.
Compound: LiCaPmCl6
Source: the Alexandria database
Functional: PBE-GGA
Structure: relaxed

Lattice parameters (Å, degrees): 6.7412 6.7412 12.2751 90.00 90.00 120.00
With the nearest neighbours (Å) after each atom.
Element x y z (fractional)
Li1 0.3333 0.6667 0.2500  6 Cl 2.62
Li2 0.6667 0.3333 0.7500  6 Cl 2.62
Ca1 0.0000 0.0000 0.0000  6 Cl 2.79
Ca2 0.0000 0.0000 0.5000  6 Cl 2.79
Pm1 0.6667 0.3333 0.2500  6 Cl 2.73
Pm2 0.3333 0.6667 0.7500  6 Cl 2.73
Cl1 0.6526 0.6653 0.1284  1 Li 2.62, 1 Pm 2.73, 1 Ca 2.79
Cl2 0.0127 0.3474 0.1284  1 Li 2.62, 1 Pm 2.73, 1 Ca 2.79
Cl3 0.3474 0.0127 0.6284  1 Li 2.62, 1 Pm 2.73, 1 Ca 2.79
Cl4 0.9873 0.6526 0.8716  1 Li 2.62, 1 Pm 2.73, 1 Ca 2.79
Cl5 0.3347 0.3474 0.3716  1 Li 2.62, 1 Pm 2.73, 1 Ca 2.79
Cl6 0.0127 0.6653 0.3716  1 Li 2.62, 1 Pm 2.73, 1 Ca 2.79
Cl7 0.6653 0.0127 0.8716  1 Li 2.62, 1 Pm 2.73, 1 Ca 2.79
Cl8 0.6526 0.9873 0.3716  1 Li 2.62, 1 Pm 2.73, 1 Ca 2.79
Cl9 0.9873 0.3347 0.6284  1 Li 2.62, 1 Pm 2.73, 1 Ca 2.79
Cl10 0.3347 0.9873 0.1284  1 Li 2.62, 1 Pm 2.73, 1 Ca 2.79
Cl11 0.6653 0.6526 0.6284  1 Li 2.62, 1 Pm 2.73, 1 Ca 2.79
Cl12 0.3474 0.3347 0.8716  1 Li 2.62, 1 Pm 2.73, 1 Ca 2.79

Summary:
**Uncorrected formation energy**: -2.193 eV/atom
**VASP energy**: -78.97 eV per cell
**Density of states at the Fermi level**: 0.0000 states/eV/atom
**Calculated volume**: 483 Å³/cell
**Symmetry**: No. 163

12.
Compound: LiCaPuCl6
Source: the Alexandria database
Functional: PBE-GGA
Structure: relaxed

Lattice parameters (Å, degrees): 6.7537 6.7537 12.2172 90.00 90.00 120.00
With the nearest neighbours (Å) after each atom.
Element x y z (fractional)
Li1 0.3333 0.6667 0.2500  6 Cl 2.62
Li2 0.6667 0.3333 0.7500  6 Cl 2.62
Ca1 0.0000 0.0000 0.0000  6 Cl 2.79
Ca2 0.0000 0.0000 0.5000  6 Cl 2.79
Pu1 0.6667 0.3333 0.2500  6 Cl 2.73
Pu2 0.3333 0.6667 0.7500  6 Cl 2.73
Cl1 0.6534 0.6665 0.1292  1 Li 2.62, 1 Pu 2.73, 1 Ca 2.79
Cl2 0.0131 0.3466 0.1292  1 Li 2.62, 1 Pu 2.73, 1 Ca 2.79
Cl3 0.3466 0.0131 0.6292  1 Li 2.62, 1 Pu 2.73, 1 Ca 2.79
Cl4 0.9869 0.6534 0.8708  1 Li 2.62, 1 Pu 2.73, 1 Ca 2.79
Cl5 0.3335 0.3466 0.3708  1 Li 2.62, 1 Pu 2.73, 1 Ca 2.79
Cl6 0.0131 0.6665 0.3708  1 Li 2.62, 1 Pu 2.73, 1 Ca 2.79
Cl7 0.6665 0.0131 0.8708  1 Li 2.62, 1 Pu 2.73, 1 Ca 2.79
Cl8 0.6534 0.9869 0.3708  1 Li 2.62, 1 Pu 2.73, 1 Ca 2.79
Cl9 0.9869 0.3335 0.6292  1 Li 2.62, 1 Pu 2.73, 1 Ca 2.79
Cl10 0.3335 0.9869 0.1292  1 Li 2.62, 1 Pu 2.73, 1 Ca 2.79
Cl11 0.6665 0.6534 0.6292  1 Li 2.62, 1 Pu 2.73, 1 Ca 2.79
Cl12 0.3466 0.3335 0.8708  1 Li 2.62, 1 Pu 2.73, 1 Ca 2.79

Summary:
**Uncorrected formation energy**: -2.022 eV/atom
**VASP energy**: -95.04 eV per cell
**Density of states at the Fermi level**: 1.2636 states/eV/atom
**Calculated volume**: 483 Å³/cell
**Symmetry**: No. 163